Crystalline Ce2MnMoN5 at its relaxed geometry, computed with GGA-PBE.

Summary:
**Density of states at the Fermi level**: 5.882 states/eV/f.u.
**Magnetic moment**: 0.001 μB per atom
**Mass density**: 7.6 g/cm3
**Space group**: Cmc2_1, No. 36
**ΔE_f (raw)**: -8.17 eV per formula unit

Cell lengths 3.2526, 6.9413, 9.9442 Å; angles 90.00, 90.00, 103.55 degrees
Fractional positions:
N: 0.6545 0.3090 0.5065
N: 0.0358 0.0716 0.0343
N: 0.2961 0.5921 0.6591
N: 0.6836 0.3672 0.8702
N: 0.4998 0.9996 0.7852
N: 0.9642 0.9284 0.5343
N: 0.3164 0.6328 0.3702
N: 0.3455 0.6910 0.0065
N: 0.5002 0.0004 0.2852
N: 0.7039 0.4079 0.1591
Mo: 0.1969 0.3939 0.0148
Mo: 0.8031 0.6061 0.5148
Ce: 0.8803 0.7606 0.1870
Ce: 0.8623 0.7246 0.8169
Ce: 0.1197 0.2394 0.6870
Ce: 0.1377 0.2754 0.3169
Mn: 0.5530 0.1059 0.9500
Mn: 0.4470 0.8941 0.4500

Crystalline CoTc7 at its relaxed geometry, computed with GGA-PBE.

Summary:
**Density of states at the Fermi level**: 10.416 states/eV/f.u.
**Magnetic moment**: 0.000 μB per atom
**Mass density**: 10.9 g/cm3
**Space group**: Fm-3m, No. 225
**ΔH_f (0 K)**: 0.0831 eV per atom

Cell lengths 5.4289, 5.4289, 5.4289 Å; angles 60.00, 60.00, 60.00 degrees
Fractional positions:
Tc: 0.5000 0.0000 0.5000
Tc: 0.5000 0.5000 0.0000
Tc: 0.0000 0.5000 0.5000
Tc: 0.0000 0.5000 0.0000
Tc: 0.5000 0.0000 0.0000
Tc: 0.5000 0.5000 0.5000
Tc: 0.0000 0.0000 0.5000
Co: 0.0000 0.0000 0.0000

Crystalline Hg2PtBr at its relaxed geometry, computed with GGA-PBE.

Summary:
**Density of states at the Fermi level**: 1.078 states/eV/f.u.
**Magnetic moment**: 0.000 μB per atom
**Mass density**: 10.0 g/cm3
**Energy relative to the lowest polymorph listed for this composition**: 0.042 eV/f.u.
**Space group**: Cm, No. 8
**ΔE_f (raw)**: 0.03 eV per formula unit

Cell lengths 5.1312, 5.1312, 6.7477 Å; angles 107.73, 107.73, 41.84 degrees
Fractional positions:
Hg: 0.2965 0.2965 0.3444
Hg: 0.9523 0.9523 0.0476
Br: 0.6699 0.6699 0.7516
Pt: 0.5812 0.5812 0.3563

Crystalline CaGaPS2 at its relaxed geometry, computed with GGA-PBE.

Summary:
**Density of states at the Fermi level**: 6.630 states/eV/f.u.
**Magnetic moment**: 0.237 μB per atom
**Mass density**: 2.3 g/cm3
**Energy relative to the lowest polymorph listed for this composition**: 3.381 eV/f.u.
**Space group**: P4/mmm, No. 123
**ΔE_f (raw)**: 1.81 eV per formula unit

Cell lengths 5.2735, 5.2735, 5.4092 Å; angles 90.00, 90.00, 90.00 degrees
Last column: magnetic moment on the atom in μB.
Fractional positions:
S: 0.0000 0.5000 0.0000  -0.03
S: 0.5000 0.0000 0.0000  -0.03
Ca: 0.0000 0.0000 0.0000  0.01
P: 0.0000 0.0000 0.5000  0.53
Ga: 0.5000 0.5000 0.5000  0.02

Crystalline LiCaHIr at its relaxed geometry, computed with GGA-PBE.

Summary:
**Density of states at the Fermi level**: 1.160 states/eV/f.u.
**Magnetic moment**: 0.000 μB per atom
**Mass density**: 6.6 g/cm3
**Energy relative to the lowest polymorph listed for this composition**: 0.137 eV/f.u.
**Space group**: P1, No. 1

Cell lengths 3.0848, 4.1521, 5.3572 Å; angles 112.71, 105.79, 90.02 degrees
Fractional positions:
Ca: 0.7636 0.8221 0.3076
H: 0.8603 0.4174 0.4992
Ir: 0.4429 0.5062 0.6740
Li: 0.0577 0.1162 0.8941

Crystalline Y3Ho5Sc at its relaxed geometry, computed with GGA-PBE.

Summary:
**Density of states at the Fermi level**: 14.019 states/eV/f.u.
**Magnetic moment**: 0.000 μB per atom
**Mass density**: 6.7 g/cm3
**Energy relative to the lowest polymorph listed for this composition**: 0.000 eV/f.u.
**Space group**: C2/c, No. 15
**ΔH_f (0 K)**: 0.1762 eV per atom

Cell lengths 6.5797, 11.8900, 11.1654 Å; angles 135.24, 90.00, 106.06 degrees
Fractional positions:
Ho: 0.9403 0.6535 0.5225
Ho: 0.2868 0.3465 0.9775
Ho: 0.7132 0.6535 0.0225
Ho: 0.1450 0.5339 0.8875
Ho: 0.8550 0.4661 0.1125
Ho: 0.0597 0.3465 0.4775
Ho: 0.6111 0.4661 0.6125
Ho: 0.6746 0.0000 0.2500
Ho: 0.3254 0.0000 0.7500
Ho: 0.3889 0.5339 0.3875
Y: 0.3981 0.7829 0.8284
Y: 0.6019 0.2171 0.1716
Y: 0.0000 0.0000 0.5000
Y: 0.6151 0.2171 0.6716
Y: 0.0000 0.0000 0.0000
Y: 0.3849 0.7829 0.3284
Sc: 0.7754 0.0000 0.7500
Sc: 0.2246 0.0000 0.2500

Crystalline BeCdCu2 at its relaxed geometry, computed with GGA-PBE.

Summary:
**Density of states at the Fermi level**: 1.000 states/eV/f.u.
**Magnetic moment**: 0.000 μB per atom
**Mass density**: 7.8 g/cm3
**Energy relative to the lowest polymorph listed for this composition**: 0.274 eV/f.u.
**Space group**: P4mm, No. 99
**ΔH_f (0 K)**: 0.0853 eV per atom

Cell lengths 2.9543, 2.9543, 6.0792 Å; angles 90.00, 90.00, 90.00 degrees
Fractional positions:
Be: 0.0000 0.0000 0.4381
Cu: 0.5000 0.5000 0.2785
Cu: 0.0000 0.0000 0.0438
Cd: 0.5000 0.5000 0.7396

Crystalline PmCoP2Os at its relaxed geometry, computed with GGA-PBE.

Summary:
**Density of states at the Fermi level**: 2.008 states/eV/f.u.
**Magnetic moment**: 0.000 μB per atom
**Mass density**: 9.3 g/cm3
**Space group**: I-4m2, No. 119
**ΔH_f (0 K)**: -0.8472 eV per atom

Cell lengths 3.8625, 3.8625, 6.1260 Å; angles 108.38, 108.38, 90.00 degrees
Fractional positions:
Os: 0.2500 0.7500 0.5000
P: 0.3628 0.3628 0.7257
P: 0.6372 0.6372 0.2743
Co: 0.7500 0.2500 0.5000
Pm: 0.0000 0.0000 0.0000

Crystalline LiAgIrPb at its relaxed geometry, computed with GGA-PBE.

Summary:
**Density of states at the Fermi level**: 1.957 states/eV/f.u.
**Magnetic moment**: 0.000 μB per atom
**Mass density**: 12.2 g/cm3
**Space group**: F-43m, No. 216
**ΔH_f (0 K)**: 0.0017 eV per atom

Cell lengths 4.6268, 4.6268, 4.6268 Å; angles 60.00, 60.00, 60.00 degrees
Fractional positions:
Ag: 0.7500 0.7500 0.7500
Li: 0.0000 0.0000 0.0000
Pb: 0.2500 0.2500 0.2500
Ir: 0.5000 0.5000 0.5000

Crystalline Ho2AlP at its relaxed geometry, computed with GGA-PBE.

Summary:
**Density of states at the Fermi level**: 4.908 states/eV/f.u.
**Magnetic moment**: 0.000 μB per atom
**Mass density**: 5.7 g/cm3
**Space group**: R-3m, No. 166
**ΔH_f (0 K)**: -0.4084 eV per atom

Cell lengths 3.7454, 3.7454, 9.6144 Å; angles 78.77, 78.77, 60.00 degrees
Fractional positions:
Ho: 0.8906 0.8906 0.3283
Ho: 0.1094 0.1094 0.6717
Al: 0.0000 0.0000 0.0000
P: 0.5000 0.5000 0.5000

Crystalline Tm2ScBi at its relaxed geometry, computed with GGA-PBE.

Summary:
**Density of states at the Fermi level**: 4.676 states/eV/f.u.
**Magnetic moment**: 0.000 μB per atom
**Mass density**: 8.6 g/cm3
**Energy relative to the lowest polymorph listed for this composition**: 0.683 eV/f.u.
**Space group**: R3m, No. 160
**ΔH_f (0 K)**: -0.1730 eV per atom

Cell lengths 3.5528, 3.5528, 10.6404 Å; angles 80.39, 80.39, 60.00 degrees
Fractional positions:
Bi: 0.6666 0.6666 0.0002
Tm: 0.2494 0.2494 0.2517
Tm: 0.0842 0.0842 0.7474
Sc: 0.4997 0.4997 0.5008

Crystalline In4NiAg at its relaxed geometry, computed with GGA-PBE.

Summary:
**Density of states at the Fermi level**: 4.291 states/eV/f.u.
**Magnetic moment**: 0.000 μB per atom
**Mass density**: 7.2 g/cm3
**Energy relative to the lowest polymorph listed for this composition**: 3.740 eV/f.u.
**Space group**: F-43m, No. 216
**ΔH_f (0 K)**: 0.5524 eV per atom

Cell lengths 5.8968, 5.8968, 5.8968 Å; angles 60.00, 60.00, 60.00 degrees
Fractional positions:
Ni: 0.7500 0.7500 0.7500
Ag: 0.0000 0.0000 0.0000
In: 0.3753 0.3753 0.3753
In: 0.8742 0.3753 0.3753
In: 0.3753 0.8742 0.3753
In: 0.3753 0.3753 0.8742